VASP calculation (GGA-PBEsol) on an optimized crystal structure of YReW2.

Properties
ΔE_f = 0.413 eV per atom
crystal system = monoclinic
volume = 17.1 A^3/atom
SG = No. 10
polymorph energy (0 for the lowest one) = 83 meV/atom

Structure (CIF):
```
data_YReW2
_chemical_formula_sum 'Y1 Re1 W2'
_cell_length_a 2.828
_cell_length_b 4.548
_cell_length_c 5.403
_cell_angle_alpha 90.00
_cell_angle_beta 100.87
_cell_angle_gamma 90.00
_space_group_name_H-M_alt 'P 1'
_space_group_IT_number 1
_space_group_name_Hall 'P 1'
loop_
_atom_site_label
_atom_site_type_symbol
_atom_site_fract_x
_atom_site_fract_y
_atom_site_fract_z
Y1 Y 0.000 0.000 0.000
Re1 Re 0.500 0.000 0.500
W1 W 0.263 0.500 0.736
W2 W 0.737 0.500 0.264
```